NaNbSe4 after structural relaxation, computed with PBE.

Values from the calculation:
- V: 24.293 Å³ per atom
- Energy: -58.3 eV per cell
- Total moment: 0.000 μB per atom

a b c (Å): 6.4749 7.5436 7.5684
angles (deg): 60.11 78.05 65.45
Positions (direct):
Se1 0.3604 0.2068 0.1569
Se2 0.0357 0.0785 0.6873
Nb1 0.2500 0.0005 0.9990
Se3 0.9643 0.9215 0.3127
Na1 0.2500 0.6392 0.7215
Se4 0.6396 0.7932 0.8431
Se5 0.4643 0.2342 0.6873
Se6 0.5357 0.7658 0.3127
Se7 0.8604 0.3637 0.8431
Se8 0.1396 0.6363 0.1569
Nb2 0.7500 0.9995 0.0010
Na2 0.7500 0.3608 0.2785